# 1
The following is a meta-GGA SCAN calculation of a PBEsol-optimized structure of RbCdPBr2, from Alexandria via LeMat-Bulk.

Cell lengths 5.7191, 5.7191, 4.9949 Å; angles 90.00, 90.00, 90.00 degrees
With the nearest neighbours (Å) after each atom.
Sites, in units of the cell vectors:
Rb 0.0000 0.0000 0.0000  8 Br 3.80, 4 P 4.04
Cd 0.5000 0.5000 0.5000  2 P 2.50
P 0.5000 0.5000 0.0000  2 Cd 2.50
Br 0.0000 0.5000 0.5000  2 Cd 2.86
Br 0.5000 0.0000 0.5000  2 Cd 2.86

Values from the calculation:
The space group is P4/mmm. The energy relative to the elements, uncorrected is -0.64 eV per atom. As for the final energy: -103.67 eV per formula unit.



# 2
The following is a meta-GGA SCAN calculation of a PBEsol-optimized structure of Al2PCl, from Alexandria via LeMat-Bulk.

Cell lengths 3.6320, 3.6320, 7.7219 Å; angles 103.48, 103.48, 59.98 degrees
With the nearest neighbours (Å) after each atom.
Sites, in units of the cell vectors:
Al 0.1066 0.1066 0.3188  1 Cl 2.37, 3 P 2.49
Al 0.8934 0.8934 0.6812  1 Cl 2.37, 3 P 2.49
P 0.5000 0.5000 0.5000  6 Al 2.49
Cl 0.0000 0.0000 0.0000  2 Al 2.37

Values from the calculation:
The space group is C2/m. Its energy above the most stable polymorph in this dataset is 0.000 eV/atom. The energy relative to the elements, uncorrected is -0.34 eV per atom. As for the final energy: -35.25 eV per formula unit.



# 3
The following is a meta-GGA SCAN calculation of a PBEsol-optimized structure of NiOs, from Alexandria via LeMat-Bulk.

Cell lengths 4.5066, 4.5066, 4.5066 Å; angles 132.48, 132.48, 69.48 degrees
With the nearest neighbours (Å) after each atom.
Sites, in units of the cell vectors:
Ni 0.3750 0.6250 0.7500  8 Os 2.57-2.59, 4 Ni 2.59
Ni 0.6250 0.3750 0.2500  8 Os 2.57-2.59, 4 Ni 2.59
Os 0.1250 0.8750 0.2500  8 Ni 2.57-2.59, 4 Os 2.59
Os 0.8750 0.1250 0.7500  8 Ni 2.57-2.59, 4 Os 2.59

Values from the calculation:
The space group is I4_1/amd. The formation energy is 0.10 eV per atom. As for the final energy: -87.86 eV per formula unit.